First-principles (GGA-PBE) data for crystalline Ni2As at its relaxed geometry, as listed in the Open Quantum Materials Database.

Output
total moment: 0.81 μB/f.u.

Structure (POSCAR):
```
Ni2As
1.0
0.000 3.389 3.389
3.389 0.000 3.389
3.389 3.389 0.000
Ni As
4 2
Direct
0.000 0.000 0.000
0.000 0.000 0.500
0.000 0.500 0.000
0.500 0.000 0.000
0.375 0.375 0.375
0.625 0.625 0.625
```


First-principles (GGA-PBE) data for crystalline Ni10As at its relaxed geometry, as listed in the Open Quantum Materials Database.

Output
total moment: 4.81 μB/f.u.

Structure (POSCAR):
```
Ni10As
1.0
3.865 -1.728 0.000
3.865 1.728 0.000
-0.150 0.000 28.875
Ni As
20 2
Direct
0.049 0.049 0.404
0.051 0.051 0.679
0.148 0.148 0.766
0.150 0.150 0.486
0.251 0.251 0.569
0.253 0.253 0.293
0.349 0.349 0.377
0.350 0.350 0.652
0.448 0.448 0.736
0.450 0.450 0.459
0.550 0.550 0.541
0.552 0.552 0.264
0.650 0.650 0.348
0.651 0.651 0.623
0.747 0.747 0.707
0.749 0.749 0.431
0.850 0.850 0.514
0.852 0.852 0.234
0.949 0.949 0.321
0.951 0.951 0.596
0.154 0.154 0.212
0.846 0.846 0.788
```


First-principles (GGA-PBE) data for crystalline Ni124As at its relaxed geometry, as listed in the Open Quantum Materials Database.

Output
total moment: 75.05 μB/f.u.

Structure (POSCAR):
```
Ni124As
1.0
0.000 8.752 8.752
8.752 0.000 8.752
8.752 8.752 0.000
Ni As
124 1
Direct
0.099 0.500 0.500
0.099 0.500 0.700
0.099 0.500 0.901
0.099 0.700 0.500
0.099 0.700 0.700
0.099 0.901 0.500
0.100 0.100 0.100
0.100 0.100 0.300
0.100 0.100 0.500
0.100 0.100 0.700
0.100 0.100 0.900
0.100 0.300 0.100
0.100 0.300 0.300
0.100 0.300 0.500
0.100 0.300 0.700
0.100 0.300 0.900
0.100 0.500 0.100
0.100 0.500 0.300
0.100 0.700 0.100
0.100 0.700 0.300
0.100 0.700 0.900
0.100 0.900 0.100
0.100 0.900 0.300
0.100 0.900 0.700
0.100 0.900 0.900
0.298 0.500 0.500
0.298 0.500 0.702
0.298 0.702 0.500
0.299 0.299 0.701
0.299 0.701 0.299
0.299 0.701 0.701
0.300 0.100 0.100
0.300 0.100 0.300
0.300 0.100 0.500
0.300 0.100 0.700
0.300 0.100 0.900
0.300 0.300 0.100
0.300 0.300 0.300
0.300 0.300 0.500
0.300 0.300 0.901
0.300 0.500 0.100
0.300 0.500 0.300
0.300 0.500 0.901
0.300 0.700 0.100
0.300 0.700 0.900
0.300 0.900 0.100
0.300 0.900 0.700
0.300 0.900 0.900
0.300 0.901 0.300
0.300 0.901 0.500
0.500 0.099 0.500
0.500 0.099 0.700
0.500 0.099 0.901
0.500 0.100 0.100
0.500 0.100 0.300
0.500 0.298 0.500
0.500 0.298 0.702
0.500 0.300 0.100
0.500 0.300 0.300
0.500 0.300 0.901
0.500 0.500 0.099
0.500 0.500 0.298
0.500 0.500 0.702
0.500 0.500 0.901
0.500 0.700 0.099
0.500 0.700 0.700
0.500 0.700 0.900
0.500 0.702 0.298
0.500 0.702 0.500
0.500 0.900 0.700
0.500 0.900 0.900
0.500 0.901 0.099
0.500 0.901 0.300
0.500 0.901 0.500
0.700 0.099 0.500
0.700 0.099 0.700
0.700 0.100 0.100
0.700 0.100 0.300
0.700 0.100 0.900
0.700 0.300 0.100
0.700 0.300 0.900
0.700 0.500 0.099
0.700 0.500 0.700
0.700 0.500 0.900
0.700 0.700 0.099
0.700 0.700 0.500
0.700 0.700 0.700
0.700 0.700 0.900
0.700 0.900 0.100
0.700 0.900 0.300
0.700 0.900 0.500
0.700 0.900 0.700
0.700 0.900 0.900
0.701 0.299 0.299
0.701 0.299 0.701
0.701 0.701 0.299
0.702 0.298 0.500
0.702 0.500 0.298
0.702 0.500 0.500
0.900 0.100 0.100
0.900 0.100 0.300
0.900 0.100 0.700
0.900 0.100 0.900
0.900 0.300 0.100
0.900 0.300 0.700
0.900 0.300 0.900
0.900 0.500 0.700
0.900 0.500 0.900
0.900 0.700 0.100
0.900 0.700 0.300
0.900 0.700 0.500
0.900 0.700 0.700
0.900 0.700 0.900
0.900 0.900 0.100
0.900 0.900 0.300
0.900 0.900 0.500
0.900 0.900 0.700
0.900 0.900 0.900
0.901 0.099 0.500
0.901 0.300 0.300
0.901 0.300 0.500
0.901 0.500 0.099
0.901 0.500 0.300
0.901 0.500 0.500
0.500 0.500 0.500
```


| no. | E (eV/cell) |
| --- | --- |
| 1 | -30.54 |
| 2 | -121.16 |
| 3 | -695.57 |